No. 1
La3Cd: optimized geometry, PBEsol.

Properties
Formation enthalpy at 0 K in eV/atom: -0.146

Cell: 6.1042 6.1042 6.1042 Å, 132.86 132.86 68.88°
Fractional positions:
La  0.0000  0.0000  0.0000
La  0.2500  0.7500  0.5000
La  0.7500  0.2500  0.5000
Cd  0.5000  0.5000  0.0000

---

No. 2
La2Cd: optimized geometry, PBEsol.

Properties
Formation enthalpy at 0 K in eV/atom: -0.165

Cell: 5.1941 5.1941 3.6840 Å, 90.00 90.00 120.00°
Fractional positions:
La  0.3333  0.6667  0.1678
La  0.6667  0.3333  0.8322
Cd  0.0000  0.0000  0.5000

---

No. 3
La2Cd: optimized geometry, PBEsol.

Properties
Formation enthalpy at 0 K in eV/atom: -0.129

Cell: 6.4986 6.4986 8.3355 Å, 107.44 107.44 32.09°
Fractional positions:
La  0.0000  0.0000  0.0000
La  0.0098  0.0098  0.5652
La  0.3458  0.3458  0.2407
La  0.7124  0.7124  0.8782
Cd  0.3019  0.3019  0.6208
Cd  0.6454  0.6454  0.3401

---

No. 4
LaCd: optimized geometry, PBEsol.

Properties
Formation enthalpy at 0 K in eV/atom: -0.301

Cell: 4.8772 4.8772 4.6512 Å, 90.00 90.00 90.00°
Fractional positions:
La  0.2500  0.2500  0.0268
La  0.7500  0.7500  0.9732
Cd  0.2500  0.7500  0.5000
Cd  0.7500  0.2500  0.5000

---

no.,calculated total energy (eV per cell),calculated density (g cm⁻³)
1,-17.82,7.32
2,-12.38,7.53
3,-24.55,7.29
4,-14.29,7.54